VASP calculation (GGA-PBE) on a relaxed Y4Ho2ErMg crystal.

Summary:
energy of formation	0.024	eV/atom
space-group type	P4/mmm (123)

abc: 4.9743 4.9743 9.9344
angles: 90.00 90.00 90.00
With the nearest neighbours (Å) after each atom.
Fractional positions:
Y (0.0000, 0.5000, 0.2480)  4 Ho 3.50-3.53, 2 Mg 3.50, 4 Y 3.52, 2 Er 3.53
Y (0.0000, 0.5000, 0.7520)  4 Ho 3.50-3.53, 2 Mg 3.50, 4 Y 3.52, 2 Er 3.53
Y (0.5000, 0.0000, 0.2480)  4 Ho 3.50-3.53, 2 Mg 3.50, 4 Y 3.52, 2 Er 3.53
Y (0.5000, 0.0000, 0.7520)  4 Ho 3.50-3.53, 2 Mg 3.50, 4 Y 3.52, 2 Er 3.53
Ho (0.0000, 0.0000, 0.0000)  8 Y 3.50, 4 Mg 3.52
Ho (0.5000, 0.5000, 0.5000)  4 Er 3.52, 8 Y 3.53
Er (0.0000, 0.0000, 0.5000)  4 Ho 3.52, 8 Y 3.53
Mg (0.5000, 0.5000, 0.0000)  8 Y 3.50, 4 Ho 3.52